Record 1
The following is a DFT calculation (PBE) of crystalline Cs5K5Cd at its relaxed geometry.

Lattice parameters (Å, degrees): 25.6981 7.8559 10.5267 90.00 114.09 90.00
Closest atoms and distances in Å follow each position.
Space group C2/m (No. 12)
Inequivalent atoms, fractional coordinates:
Cs (0.0000, 0.0000, 0.0000) (multiplicity 2)  4 K 4.42-4.43
Cs (0.1460, 0.5000, 0.1460) (multiplicity 4)  6 K 5.06-5.62, 6 Cs 5.19-5.47
Cs (0.2095, 0.5000, 0.7094) (multiplicity 4)  7 K 4.81-4.92, 2 Cs 5.19
K (0.0000, 0.5000, 0.5000) (multiplicity 2)  2 Cd 3.93
K (0.1317, 0.0000, 0.4327) (multiplicity 4)  1 Cd 3.73
K (0.1318, 0.0000, 0.8307) (multiplicity 4)  1 Cd 3.74
Cd (0.0000, 0.0000, 0.5000) (multiplicity 2)  6 K 3.73-3.93

Computed properties:
N(E_F)   10.6 states/eV/f.u.
ΔH_f (0 K)   0.53 eV/f.u.


Record 2
The following is a DFT calculation (PBE) of crystalline Cs12K5Cd3 at its relaxed geometry.

Lattice parameters (Å, degrees): 25.4501 25.4501 25.4501 90.00 90.00 90.00
Closest atoms and distances in Å follow each position.
Space group Ia-3d (No. 230)
Inequivalent atoms, fractional coordinates:
Cs (0.0186, 0.0938, 0.6494) (multiplicity 96)  1 Cd 4.05, 2 K 4.43-4.52
K (0.0000, 0.0000, 0.0000) (multiplicity 16)  6 Cs 4.52
K (0.0000, 0.2500, 0.3750) (multiplicity 24)  4 Cs 4.43
Cd (0.0000, 0.2500, 0.1250) (multiplicity 24)  4 Cs 4.05

Computed properties:
N(E_F)   18.0 states/eV/f.u.
ΔH_f (0 K)   3.19 eV/f.u.


- Number 1 is which compound?
  Cs5K5Cd